A plane-wave DFT calculation with PBE was carried out for a relaxed PuPN crystal. Values from VASP.

Geometry as Quantum ESPRESSO input:
```
&SYSTEM
  ibrav = 0, nat = 3, ntyp = 3
/
ATOMIC_SPECIES
Pu 244.00 Pu.upf
N 14.01 N.upf
P 30.97 P.upf
ATOMIC_POSITIONS angstrom
Pu 0.660 0.000 0.000
N 0.660 0.000 2.147
P 2.640 1.859 1.074
CELL_PARAMETERS angstrom
3.960 0.000 0.000
0.000 3.719 0.000
0.000 -1.859 3.221
```

Computed properties:
Fermi-level density of states	2.360	states/eV/atom
distance to the lowest polymorph of the same formula	495.6	meV/atom
symmetry	No. 187
energy relative to the elements, uncorrected	-0.4770	eV/atom